A plane-wave DFT calculation with PBE was carried out for a relaxed structure of NaSr3Ir.

The calculation puts the density at 3.8 Mg/m³. As for the energy relative to the elements: -0.116 eV/atom. Its final energy is -3.16 eV per atom. Its energy above the most stable polymorph in this dataset is 0.007 eV/atom.

It has space group Pm (No. 6), with a = 8.6650 Å, b = 6.4358 Å, c = 8.6660 Å, α = 90.00°, β = 119.99° and γ = 90.00°. The inequivalent atoms are Na at (0.0000, 0.0000, 0.0000), Na at (0.3333, 0.5000, 0.6678), Sr at (0.0109, 0.0000, 0.5028), Sr at (0.3508, 0.5000, 0.1786), Sr at (0.4914, 0.0000, 0.9896), Sr at (0.4975, 0.0000, 0.5091), Sr at (0.8219, 0.5000, 0.1733), Sr at (0.8271, 0.5000, 0.6497) and Ir at (0.6666, 0.2137, 0.3339).